<P>
# PBE Cu4GeAu3, optimized geometry
# D(E_F): 2.6 states/eV/cell
# Space group: Imm2 (44)
# Theoretical density: 12.33 Mg/m³
data_Cu4GeAu3
_chemical_formula_sum 'Cu4 Ge1 Au3'
_cell_length_a 5.815
_cell_length_b 5.815
_cell_length_c 5.815
_cell_angle_alpha 79.50
_cell_angle_beta 126.75
_cell_angle_gamma 125.73
_symmetry_space_group_name_H-M 'P 1'
_symmetry_Int_Tables_number 1
loop_
_symmetry_equiv_pos_as_xyz
'x,y,z'
loop_
_atom_site_label
_atom_site_fract_x
_atom_site_fract_y
_atom_site_fract_z
Cu1 0.086 0.749 0.836
Cu2 0.086 0.251 0.337
Cu3 0.587 0.241 0.345
Cu4 0.104 0.759 0.345
Ge1 0.269 0.500 0.769
Au1 0.584 0.272 0.856
Au2 0.851 0.000 0.851
Au3 0.584 0.728 0.311

<Q>
# PBE Cu4GeAu3, optimized geometry
# D(E_F): 2.6 states/eV/cell
# Space group: P4/mmm (123)
# Theoretical density: 12.73 Mg/m³
data_Cu4GeAu3
_chemical_formula_sum 'Cu4 Ge1 Au3'
_cell_length_a 3.251
_cell_length_b 3.251
_cell_length_c 11.323
_cell_angle_alpha 90.00
_cell_angle_beta 90.00
_cell_angle_gamma 90.00
_symmetry_space_group_name_H-M 'P 1'
_symmetry_Int_Tables_number 1
loop_
_symmetry_equiv_pos_as_xyz
'x,y,z'
loop_
_atom_site_label
_atom_site_fract_x
_atom_site_fract_y
_atom_site_fract_z
Ge1 0.500 0.500 0.000
Au1 0.500 0.500 0.246
Au2 0.500 0.500 0.500
Au3 0.500 0.500 0.754
Cu1 0.000 0.000 0.883
Cu2 0.000 0.000 0.117
Cu3 0.000 0.000 0.373
Cu4 0.000 0.000 0.627

Most stable: <Q> (next structure +0.075 eV/atom)

<P>
# PBE Cu4Ge2Au5, optimized geometry
# D(E_F): 3.1 states/eV/cell
# Space group: C2/m (12)
# Theoretical density: 12.68 Mg/m³
data_Cu4Ge2Au5
_chemical_formula_sum 'Cu4 Ge2 Au5'
_cell_length_a 2.900
_cell_length_b 6.438
_cell_length_c 9.819
_cell_angle_alpha 90.69
_cell_angle_beta 98.49
_cell_angle_gamma 90.00
_symmetry_space_group_name_H-M 'P 1'
_symmetry_Int_Tables_number 1
loop_
_symmetry_equiv_pos_as_xyz
'x,y,z'
loop_
_atom_site_label
_atom_site_fract_x
_atom_site_fract_y
_atom_site_fract_z
Cu1 0.917 0.734 0.834
Cu2 0.041 0.652 0.082
Cu3 0.083 0.266 0.166
Cu4 0.959 0.348 0.918
Ge1 0.357 0.466 0.714
Ge2 0.643 0.534 0.286
Au1 0.150 0.918 0.301
Au2 0.850 0.082 0.699
Au3 0.232 0.276 0.465
Au4 0.500 0.000 0.000
Au5 0.768 0.724 0.535

<Q>
# PBE Cu4Ge2Au5, optimized geometry
# D(E_F): 3.1 states/eV/cell
# Space group: C2/m (12)
# Theoretical density: 13.10 Mg/m³
data_Cu4Ge2Au5
_chemical_formula_sum 'Cu4 Ge2 Au5'
_cell_length_a 4.010
_cell_length_b 10.301
_cell_length_c 4.810
_cell_angle_alpha 77.63
_cell_angle_beta 114.63
_cell_angle_gamma 90.00
_symmetry_space_group_name_H-M 'P 1'
_symmetry_Int_Tables_number 1
loop_
_symmetry_equiv_pos_as_xyz
'x,y,z'
loop_
_atom_site_label
_atom_site_fract_x
_atom_site_fract_y
_atom_site_fract_z
Cu1 0.330 0.264 0.660
Cu2 0.945 0.822 0.890
Cu3 0.670 0.736 0.340
Cu4 0.055 0.178 0.110
Ge1 0.595 0.349 0.190
Ge2 0.405 0.651 0.810
Au1 0.865 0.436 0.731
Au2 0.135 0.564 0.269
Au3 0.776 0.102 0.552
Au4 0.500 0.000 0.000
Au5 0.224 0.898 0.448

Most stable: <Q> (next structure +0.074 eV/atom)